Entry from Alexandria: a relaxed structure of Pm3Nd4Tl (GGA-PBE).

## Properties
energy above the lowest structure with this stoichiometry: 0.44 eV/f.u.
ρ: 7607 kg/m³
formation enthalpy at 0 K: -0.01 eV/atom

a = 4.265 Å, b = 4.265 Å, c = 14.597 Å
α = 90.00°, β = 90.00°, γ = 90.00°
Space group P4/mmm (No. 123)
Symmetry-distinct sites (fractional):
Pm 0.000 0.000 0.000 x1
Pm 0.000 0.000 0.253 x2
Nd 0.500 0.500 0.129 x2
Nd 0.500 0.500 0.388 x2
Tl 0.000 0.000 0.500 x1